VASP calculation (PBE-GGA) on a relaxed CdCu2C crystal.

Lattice parameters (Å, degrees): 6.869 6.869 6.869 140.86 140.86 56.55
Atoms (fractional coordinates):
Cd 0.000 0.000 0.000
Cd 0.750 0.250 0.500
Cu 0.345 0.125 0.720
Cu 0.375 0.655 0.780
Cu 0.405 0.625 0.280
Cu 0.875 0.595 0.220
C 0.250 0.750 0.500
C 0.500 0.500 0.000

Properties
Its energy of formation is 0.780 eV/atom. The crystal system is tetragonal. Its energy above the most stable polymorph in this dataset is 0.0 meV per atom. As for the space-group type: I-42d. For the density of states at the Fermi level, the calculation gives 0.44 states/eV per atom.